Zn2B: optimized geometry, PBE.

The structure in POSCAR format:
```
Zn2B
1.0
5.113 0.000 0.000
-2.557 4.428 0.000
0.000 0.000 3.414
Zn B
4 2
Direct
0.000 0.000 0.000
0.000 0.579 0.500
0.421 0.421 0.500
0.579 0.000 0.500
0.333 0.667 0.000
0.667 0.333 0.000
```

Computed properties:
Calculated volume   77.33 Å³ per cell
Electronic total energy   -2.311 eV/atom
Space-group type   No. 189



CdCo2Ge2: optimized geometry, PBE.

The structure in POSCAR format:
```
CdCo2Ge2
1.0
5.185 0.000 0.000
0.000 3.825 0.000
0.000 0.000 7.571
Cd Co Ge
2 4 4
Direct
0.000 0.000 0.000
0.500 0.000 0.000
0.000 0.500 0.500
0.250 0.500 0.210
0.500 0.500 0.500
0.750 0.500 0.790
0.250 0.000 0.398
0.250 0.500 0.765
0.750 0.000 0.602
0.750 0.500 0.235
```

Computed properties:
Calculated volume   150.17 Å³ per cell
Electronic total energy   -4.856 eV/atom
Size of the total moment   0.000 μB/atom
Space-group type   No. 51



Be2Tc2As3P: optimized geometry, PBE.

The structure in POSCAR format:
```
Be2Tc2As3P
1.0
10.246 0.000 0.000
0.000 5.793 0.000
-1.439 0.000 4.855
Be Tc As P
4 4 6 2
Direct
0.127 0.000 0.345
0.373 0.500 0.655
0.627 0.500 0.345
0.873 0.000 0.655
0.112 0.491 0.922
0.388 0.991 0.078
0.612 0.991 0.922
0.888 0.491 0.078
0.000 0.278 0.500
0.227 0.776 0.706
0.273 0.276 0.294
0.500 0.778 0.500
0.727 0.276 0.706
0.773 0.776 0.294
0.000 0.817 0.000
0.500 0.317 0.000
```

Computed properties:
Calculated volume   288.17 Å³ per cell
Electronic total energy   -5.792 eV/atom
Size of the total moment   0.000 μB/atom
Space-group type   No. 5



The highest electronic total energy belongs to which entry?
Zn2B



What is the calculated volume in the second record?
150.17 Å³ per cell